This record from Alexandria via LeMat-Bulk describes a relaxed ZrGa2Ag2 crystal. The functional is PBE.

The structure in POSCAR format:
```
ZrGa2Ag2
1.0
-1.992 1.992 5.808
1.992 -1.992 5.808
1.992 1.992 -5.808
Zr Ga Ag
1 2 2
Direct
0.000 0.000 0.000
0.399 0.399 0.000
0.601 0.601 0.000
0.250 0.750 0.500
0.750 0.250 0.500
```

## Properties
Offset from the most stable computed form: 0.0 meV per atom
Symmetry: No. 139

***

This record from Alexandria via LeMat-Bulk describes a relaxed PmPr2Ga crystal. The functional is PBE.

The structure in POSCAR format:
```
PmPr2Ga
1.0
3.649 0.000 0.000
0.000 3.649 0.000
0.000 0.000 9.223
Pm Pr Ga
1 2 1
Direct
0.000 0.000 0.000
0.500 0.500 0.291
0.500 0.500 0.709
0.000 0.000 0.500
```

## Properties
Offset from the most stable computed form: 2.1 meV per atom
Symmetry: No. 123

***

This record from Alexandria via LeMat-Bulk describes a relaxed SrLi2GaTe crystal. The functional is PBE.

The structure in POSCAR format:
```
SrLi2GaTe
1.0
5.714 0.000 0.000
0.000 5.714 0.000
0.000 0.000 5.795
Sr Li Ga Te
1 2 1 1
Direct
0.000 0.000 0.000
0.000 0.500 0.000
0.500 0.000 0.000
0.000 0.000 0.500
0.500 0.500 0.500
```

## Properties
Symmetry: No. 123
ΔE_f (raw): 315 kJ/mol of formula units

***

What did the second record say?
This record from Alexandria via LeMat-Bulk describes a relaxed PmPr2Ga crystal. The functional is PBE.

The structure in POSCAR format:
```
PmPr2Ga
1.0
3.649 0.000 0.000
0.000 3.649 0.000
0.000 0.000 9.223
Pm Pr Ga
1 2 1
Direct
0.000 0.000 0.000
0.500 0.500 0.291
0.500 0.500 0.709
0.000 0.000 0.500
```

## Properties
Offset from the most stable computed form: 2.1 meV per atom
Symmetry: No. 123